1.
{
  "formula": "Sc8GaCu2",
  "functional": "GGA-PBE",
  "state": "relaxed",
  "lattice_angstrom": [[3.161, 0.000, -0.962], [-1.479, 6.412, -4.860], [1.479, 0.522, 10.534]],
  "species": ["Sc", "Sc", "Sc", "Sc", "Sc", "Sc", "Sc", "Sc", "Ga", "Cu", "Cu"],
  "frac_coords": [[0.618, 0.758, 0.236], [0.307, 0.474, 0.615], [0.130, 0.110, 0.260], [0.034, 0.336, 0.068], [0.870, 0.890, 0.740], [0.693, 0.526, 0.385], [0.382, 0.242, 0.764], [0.966, 0.664, 0.932], [0.500, 0.000, 0.000], [0.246, 0.862, 0.492], [0.754, 0.138, 0.508]],
  "ef_ev_per_atom": -0.18,
  "e_tot_ev_per_atom": -5.802,
  "mass_density_g_cm3": 3.99,
  "total_magnetization_mub_per_cell": 0.000,
  "spacegroup": "C2/m"
}

2.
{
  "formula": "TbDyAgSb",
  "functional": "GGA-PBE",
  "state": "relaxed",
  "lattice_angstrom": [[5.232, 0.000, 0.000], [2.616, 4.531, 0.000], [2.616, 1.510, 4.272]],
  "species": ["Sb", "Tb", "Ag", "Dy"],
  "frac_coords": [[0.750, 0.750, 0.750], [0.500, 0.500, 0.500], [0.250, 0.250, 0.250], [0.000, 0.000, 0.000]],
  "raw_formation_energy_mev_per_atom": -544,
  "e_tot_ev_per_atom": -4.596,
  "mass_density_g_cm3": 9.03,
  "total_magnetization_mub_per_cell": 0.359,
  "spacegroup": "F-43m"
}

3.
{
  "formula": "PtRhN",
  "functional": "GGA-PBE",
  "state": "relaxed",
  "lattice_angstrom": [[5.691, 0.000, 0.009], [0.000, 2.898, 0.000], [-1.339, 0.000, 4.687]],
  "species": ["Pt", "Pt", "Rh", "Rh", "N", "N"],
  "frac_coords": [[0.441, 0.000, 0.846], [0.441, 0.500, 0.346], [0.013, 0.000, 0.370], [0.013, 0.500, 0.870], [0.808, 0.000, 0.966], [0.808, 0.500, 0.466]],
  "raw_formation_energy_mev_per_atom": 318,
  "e_tot_ev_per_atom": -6.921,
  "mass_density_g_cm3": 13.40,
  "total_magnetization_mub_per_cell": 0.000,
  "spacegroup": "Cm",
  "polymorph_energy_ev_per_atom": 0.146
}